DFT (GGA-PBE) results for Sc2TaTi after structural relaxation.

It has space group R3m (No. 160, hexagonal axes), with a = 3.0569 Å, b = 3.0569 Å, c = 30.1978 Å, α = 90.00°, β = 90.00° and γ = 120.00°. The distinct sites, in fractional coordinates, are Sc at (0.0000, 0.0000, 0.0000), Sc at (0.0000, 0.0000, 0.1674), Ta at (0.0000, 0.0000, 0.7504) and Ti at (0.0000, 0.0000, 0.5845).

For the theoretical density, the calculation gives 6.5 g/cm³. Its energy above the lowest structure with this stoichiometry is 0 meV/atom.